## PrH4I4 (PBE)

Data for PrH4I4 after structural relaxation.

## Properties
The value obtained for the total DFT energy (no corrections) is -0.20372 Ry per atom. For the magnetic moment, the calculation gives 0.00 μB per cell.

Cell: 7.8444 7.8444 7.8444 Å, 94.16 94.16 148.73°
With the nearest neighbours (Å) after each atom.
Fractional coordinates of all 9 atoms:
Pr: 0.0000 0.0000 0.0000  4 H 2.48
H: 0.0521 0.7737 0.8258  2 I 2.12
H: 0.2263 0.0521 0.2785  2 I 2.12
H: 0.7737 0.9479 0.7215  2 I 2.12
H: 0.9479 0.2263 0.1742  2 I 2.12
I: 0.2566 0.4440 0.7006  2 H 2.12
I: 0.4440 0.7434 0.1873  2 H 2.12
I: 0.5560 0.2566 0.8127  2 H 2.12
I: 0.7434 0.5560 0.2994  2 H 2.12

## Pr2HI3 (PBE)

Data for Pr2HI3 after structural relaxation.

## Properties
The value obtained for the total DFT energy (no corrections) is -0.29656 Ry per atom. For the magnetic moment, the calculation gives 1.83 μB per cell.

Cell: 9.9757 9.9757 12.4429 Å, 121.04 121.04 24.10°
With the nearest neighbours (Å) after each atom.
Fractional coordinates of all 12 atoms:
Pr: 0.0707 0.0707 0.4611  2 H 2.44-2.45
Pr: 0.3647 0.3647 0.2092  2 H 2.50
Pr: 0.6353 0.6353 0.7908  2 H 2.50
Pr: 0.9293 0.9293 0.5389  2 H 2.44-2.45
H: 0.0767 0.0767 0.6628  4 Pr 2.44-2.50
H: 0.9233 0.9233 0.3372  4 Pr 2.44-2.50
I: 0.1642 0.1642 0.0110  3 Pr 3.24-3.35
I: 0.2844 0.2844 0.3787  3 Pr 3.22
I: 0.4608 0.4608 0.7582  3 Pr 3.21-3.22
I: 0.5392 0.5392 0.2418  3 Pr 3.21-3.22
I: 0.7156 0.7156 0.6213  3 Pr 3.22
I: 0.8358 0.8358 0.9890  3 Pr 3.24-3.35

## Pr3H2I2 (PBE)

Data for Pr3H2I2 after structural relaxation.

## Properties
The value obtained for the total DFT energy (no corrections) is -0.30174 Ry per atom. For the magnetic moment, the calculation gives 0.00 μB per cell.

Cell: 6.5195 6.5195 8.1579 Å, 102.41 102.41 33.82°
With the nearest neighbours (Å) after each atom.
Fractional coordinates of all 7 atoms:
Pr: 0.0000 0.0000 0.0000  4 H 2.65
Pr: 0.2418 0.2418 0.8071  3 H 2.40-2.67
Pr: 0.7582 0.7582 0.1929  3 H 2.40-2.67
H: 0.3709 0.3709 0.0745  5 Pr 2.40-2.67
H: 0.6291 0.6291 0.9255  5 Pr 2.40-2.67
I: 0.1139 0.1139 0.3881  4 Pr 3.17-3.43
I: 0.8861 0.8861 0.6119  4 Pr 3.17-3.43

## Pr4H2I5 (PBE)

Data for Pr4H2I5 after structural relaxation.

## Properties
The value obtained for the total DFT energy (no corrections) is -0.30106 Ry per atom. For the magnetic moment, the calculation gives 0.00 μB per cell.

Cell: 9.6604 9.6604 9.3612 Å, 103.40 103.40 25.28°
With the nearest neighbours (Å) after each atom.
Fractional coordinates of all 11 atoms:
Pr: 0.0011 0.0011 0.2756  2 H 2.33
Pr: 0.3752 0.3752 0.4380  2 H 2.54-2.56
Pr: 0.6248 0.6248 0.5620  2 H 2.54-2.56
Pr: 0.9989 0.9989 0.7244  2 H 2.33
H: 0.4989 0.4989 0.6204  1 H 2.26, 2 Pr 2.33
H: 0.5011 0.5011 0.3796  1 H 2.26, 2 Pr 2.33
I: 0.1707 0.1707 0.8286  3 Pr 3.15-3.23
I: 0.1753 0.1753 0.3407  3 Pr 3.19-3.26
I: 0.5000 0.5000 0.0000  4 Pr 3.33, 2 H 3.55
I: 0.8247 0.8247 0.6593  3 Pr 3.19-3.26
I: 0.8293 0.8293 0.1714  3 Pr 3.15-3.23